# 1
The following is a GGA-PBE calculation of a relaxed structure of ScZnMo2, from Alexandria.

Structure (POSCAR):
```
ScZnMo2
1.0
2.796 -0.006 0.000
-0.849 2.664 0.000
0.000 0.000 9.054
Mo Zn Sc
2 1 1
Cartesian
0.000 0.000 0.026
0.974 1.329 2.154
0.974 1.329 6.890
0.000 0.000 4.509
```

Calculated values
* total magnetic moment: 0.00 μB/f.u.
* ρ: 7.45 g/cm3
* SG: Cmm2 (35)
* energy: -7.234 eV/atom

# 2
The following is a GGA-PBE calculation of a relaxed structure of ScZnMo2, from Alexandria.

Structure (POSCAR):
```
ScZnMo2
1.0
-6.568 -3.385 1.015
3.186 -6.599 -1.388
-1.165 -5.264 2.313
Mo Sc Zn
4 2 2
Cartesian
1.102 -5.749 -0.197
-4.221 -4.371 1.073
-2.250 -7.468 1.642
-3.724 -12.907 1.361
0.165 -8.427 0.369
-1.691 -4.992 -0.187
-4.712 -6.820 1.570
0.000 0.000 0.000
```

Calculated values
* total magnetic moment: 0.00 μB/f.u.
* ρ: 7.03 g/cm3
* SG: I-42d (122)
* energy: -6.740 eV/atom

# 3
The following is a GGA-PBE calculation of a relaxed structure of Sc2ZnMo, from Alexandria.

Structure (POSCAR):
```
Sc2ZnMo
1.0
0.000 3.322 3.322
3.322 0.000 3.322
3.322 3.322 0.000
Mo Sc Zn
1 2 1
Cartesian
3.322 3.322 3.322
4.984 4.984 4.984
1.661 1.661 1.661
0.000 0.000 0.000
```

Calculated values
* total magnetic moment: 0.00 μB/f.u.
* ρ: 5.69 g/cm3
* SG: Fm-3m (225)
* energy: -6.213 eV/atom

# 4
The following is a GGA-PBE calculation of a relaxed structure of Sc2ZnMo, from Alexandria.

Structure (POSCAR):
```
Sc2ZnMo
1.0
-4.112 -0.135 3.326
0.079 -4.093 3.350
3.303 3.870 -1.449
Sc Mo Zn
2 1 1
Cartesian
-0.012 -0.013 0.020
-1.382 0.843 2.556
0.635 -1.219 2.700
-1.987 -2.083 3.290
```

Calculated values
* total magnetic moment: 0.00 μB/f.u.
* ρ: 5.68 g/cm3
* SG: Imm2 (44)
* energy: -6.203 eV/atom

# 5
The following is a GGA-PBE calculation of a relaxed structure of ScZnMo2, from Alexandria.

Structure (POSCAR):
```
ScZnMo2
1.0
-3.311 -1.021 -1.662
1.845 -0.578 -3.321
0.739 -4.274 1.154
Mo Zn Sc
2 1 1
Cartesian
-0.733 -0.800 -2.492
0.000 0.000 0.000
1.292 -2.426 -1.084
-1.286 -2.648 -0.254
```

Calculated values
* total magnetic moment: 0.00 μB/f.u.
* ρ: 7.57 g/cm3
* SG: P4/mmm (123)
* energy: -7.259 eV/atom

# 6
The following is a GGA-PBE calculation of a relaxed structure of Sc2ZnMo, from Alexandria.

Structure (POSCAR):
```
Sc2ZnMo
1.0
-2.349 0.673 -1.569
1.015 -1.637 -2.173
-4.258 -7.075 3.338
Sc Zn Mo
2 1 1
Cartesian
-1.876 -2.491 -0.923
-4.153 -6.899 3.255
-2.188 -3.635 1.715
-3.762 -5.625 0.555
```

Calculated values
* total magnetic moment: 0.00 μB/f.u.
* ρ: 5.56 g/cm3
* SG: Cmm2 (35)
* energy: -6.107 eV/atom

# 7
The following is a GGA-PBE calculation of a relaxed structure of ScZnMo2, from Alexandria.

Structure (POSCAR):
```
ScZnMo2
1.0
-1.618 -0.327 -5.155
2.352 -4.310 2.006
-2.154 -1.645 0.316
Mo Zn Sc
2 1 1
Cartesian
0.000 0.000 0.000
0.099 -2.978 1.161
-1.886 -0.986 -2.419
0.367 -2.319 -1.574
```

Calculated values
* total magnetic moment: 0.00 μB/f.u.
* ρ: 7.57 g/cm3
* SG: C2/m (12)
* energy: -7.174 eV/atom

# 8
The following is a GGA-PBE calculation of a relaxed structure of ScZnMo2, from Alexandria.

Structure (POSCAR):
```
ScZnMo2
1.0
9.483 -0.029 -0.017
9.049 2.836 -0.017
9.049 1.370 2.483
Zn Mo Sc
1 2 1
Cartesian
20.685 3.133 1.836
13.680 2.072 1.215
0.110 0.017 0.010
6.895 1.044 0.612
```

Calculated values
* total magnetic moment: 0.00 μB/f.u.
* ρ: 7.39 g/cm3
* SG: R-3m (166)
* energy: -6.982 eV/atom

# 9
The following is a GGA-PBE calculation of a relaxed structure of Sc2ZnMo, from Alexandria.

Structure (POSCAR):
```
Sc2ZnMo
1.0
3.347 0.000 0.000
0.000 3.347 0.000
0.000 0.000 6.674
Zn Sc Mo
1 2 1
Cartesian
1.674 1.674 1.668
0.000 0.000 6.589
0.000 0.000 3.421
1.674 1.674 5.005
```

Calculated values
* total magnetic moment: 0.00 μB/f.u.
* ρ: 5.58 g/cm3
* SG: P4/mmm (123)
* energy: -6.258 eV/atom

# 10
The following is a GGA-PBE calculation of a relaxed structure of ScZn4Mo, from Alexandria.

Structure (POSCAR):
```
ScZn4Mo
1.0
0.000 3.596 3.596
3.596 0.000 3.596
3.596 3.596 0.000
Zn Mo Sc
4 1 1
Cartesian
4.489 4.489 2.703
2.703 4.489 4.489
4.489 2.703 4.489
2.703 2.703 2.703
5.394 5.394 5.394
0.000 0.000 0.000
```

Calculated values
* total magnetic moment: 1.83 μB/f.u.
* ρ: 7.19 g/cm3
* SG: F-43m (216)
* energy: -3.807 eV/atom

# 11
The following is a GGA-PBE calculation of a relaxed structure of ScZn3Mo, from Alexandria.

Structure (POSCAR):
```
ScZn3Mo
1.0
-1.253 -4.013 2.276
0.589 -2.478 -4.046
4.576 -0.780 1.144
Zn Sc Mo
3 1 1
Cartesian
2.288 -0.390 0.572
0.295 -1.239 -2.023
-0.626 -2.007 1.138
1.956 -3.635 -0.313
0.000 0.000 0.000
```

Calculated values
* total magnetic moment: 0.00 μB/f.u.
* ρ: 5.12 g/cm3
* SG: Pm-3m (221)
* energy: -3.531 eV/atom

# 12
The following is a GGA-PBE calculation of a relaxed structure of Sc2ZnMo, from Alexandria.

Structure (POSCAR):
```
Sc2ZnMo
1.0
-5.681 3.616 6.121
-5.892 0.553 6.913
-3.527 2.327 8.060
Zn Sc Mo
1 2 1
Cartesian
-3.775 1.624 5.274
-0.032 0.014 0.044
-7.518 3.234 10.503
-11.325 4.872 15.821
```

Calculated values
* total magnetic moment: 1.00 μB/f.u.
* ρ: 5.38 g/cm3
* SG: R-3m (166)
* energy: -6.071 eV/atom

# 13
The following is a GGA-PBE calculation of a relaxed structure of Sc2ZnMo, from Alexandria.

Structure (POSCAR):
```
Sc2ZnMo
1.0
2.901 0.139 0.000
-0.323 2.887 0.000
0.000 0.000 8.790
Sc Zn Mo
2 1 1
Cartesian
0.000 0.000 0.010
0.000 0.000 4.385
1.289 1.513 2.197
1.289 1.513 6.592
```

Calculated values
* total magnetic moment: 0.00 μB/f.u.
* ρ: 5.64 g/cm3
* SG: Cmmm (65)
* energy: -6.202 eV/atom

# 14
The following is a GGA-PBE calculation of a relaxed structure of Sc2ZnMo, from Alexandria.

Structure (POSCAR):
```
Sc2ZnMo
1.0
4.680 0.000 0.000
2.340 4.053 0.000
2.340 1.351 3.821
Sc Mo Zn
2 1 1
Cartesian
2.340 1.351 0.955
0.000 0.000 0.000
4.680 2.702 1.910
7.019 4.053 2.866
```

Calculated values
* total magnetic moment: 0.03 μB/f.u.
* ρ: 5.76 g/cm3
* SG: F-43m (216)
* energy: -6.027 eV/atom

# 15
The following is a GGA-PBE calculation of a relaxed structure of ScZn2Mo2, from Alexandria.

Structure (POSCAR):
```
ScZn2Mo2
1.0
-3.941 -0.090 0.002
0.090 -3.938 0.159
-1.927 -1.777 5.926
Sc Mo Zn
1 2 2
Cartesian
0.000 0.000 0.000
-3.852 -3.836 4.886
-1.926 -1.968 1.202
-3.897 -1.940 3.005
-1.882 -3.864 3.083
```

Calculated values
* total magnetic moment: 0.00 μB/f.u.
* ρ: 6.72 g/cm3
* SG: I4/mmm (139)
* energy: -5.788 eV/atom

# 16
The following is a GGA-PBE calculation of a relaxed structure of Sc2ZnMo, from Alexandria.

Structure (POSCAR):
```
Sc2ZnMo
1.0
-0.259 4.394 -2.354
-0.925 2.150 -4.408
-5.042 1.250 0.271
Sc Mo Zn
2 1 1
Cartesian
-0.015 0.010 -0.006
-3.098 3.886 -3.239
-1.556 1.948 -1.623
-4.669 5.845 -4.869
```

Calculated values
* total magnetic moment: 0.00 μB/f.u.
* ρ: 5.61 g/cm3
* SG: C2/m (12)
* energy: -6.065 eV/atom

# 17
The following is a GGA-PBE calculation of a relaxed structure of ScZnMo2, from Alexandria.

Structure (POSCAR):
```
ScZnMo2
1.0
5.222 -0.002 0.000
-2.319 4.679 0.000
0.000 0.000 2.728
Mo Zn Sc
2 1 1
Cartesian
0.000 0.000 0.000
1.452 2.339 0.000
-1.159 2.339 1.364
2.611 -0.001 1.364
```

Calculated values
* total magnetic moment: 0.00 μB/f.u.
* ρ: 7.53 g/cm3
* SG: Cmmm (65)
* energy: -7.123 eV/atom

# 18
The following is a GGA-PBE calculation of a relaxed structure of ScZnMo2, from Alexandria.

Structure (POSCAR):
```
ScZnMo2
1.0
0.000 3.203 3.203
3.203 0.000 3.203
3.203 3.203 0.000
Zn Mo Sc
1 2 1
Cartesian
3.203 3.203 3.203
1.602 1.602 1.602
4.805 4.805 4.805
0.000 0.000 0.000
```

Calculated values
* total magnetic moment: 0.00 μB/f.u.
* ρ: 7.64 g/cm3
* SG: Fm-3m (225)
* energy: -6.846 eV/atom

# 19
The following is a GGA-PBE calculation of a relaxed structure of ScZnMo2, from Alexandria.

Structure (POSCAR):
```
ScZnMo2
1.0
-2.780 -3.802 -0.726
2.007 -1.654 0.971
-1.324 0.016 4.986
Sc Mo Zn
1 2 1
Cartesian
-1.219 -2.310 1.126
0.476 -0.916 2.975
1.873 -1.556 0.974
-0.877 -3.129 4.105
```

Calculated values
* total magnetic moment: 0.00 μB/f.u.
* ρ: 7.44 g/cm3
* SG: P2/m (10)
* energy: -7.188 eV/atom

# 20
The following is a GGA-PBE calculation of a relaxed structure of ScZnMo2, from Alexandria.

Structure (POSCAR):
```
ScZnMo2
1.0
-4.522 1.622 -0.675
-4.341 -0.805 -2.013
-1.934 -2.441 4.166
Zn Mo Sc
1 2 1
Cartesian
-2.738 -0.405 0.362
-8.114 -1.261 1.187
-10.675 -1.618 1.486
-5.466 -0.774 0.662
```

Calculated values
* total magnetic moment: 0.00 μB/f.u.
* ρ: 7.50 g/cm3
* SG: Cm (8)
* energy: -7.156 eV/atom

# 21
The following is a GGA-PBE calculation of a relaxed structure of Sc2ZnMo, from Alexandria.

Structure (POSCAR):
```
Sc2ZnMo
1.0
5.438 -0.005 -0.005
4.563 2.957 -0.005
1.494 0.441 4.686
Sc Mo Zn
2 1 1
Cartesian
9.894 2.920 0.243
8.738 2.579 3.245
2.619 0.773 1.043
5.992 1.769 2.474
```

Calculated values
* total magnetic moment: 0.00 μB/f.u.
* ρ: 5.53 g/cm3
* SG: Cm (8)
* energy: -6.191 eV/atom

# 22
The following is a GGA-PBE calculation of a relaxed structure of ZrScZnMo2, from Alexandria.

Structure (POSCAR):
```
ZrScZnMo2
1.0
-1.924 -3.427 -2.564
0.337 -3.021 3.785
-4.268 1.322 1.436
Mo Sc Zr Zn
2 1 1 1
Cartesian
-2.134 0.661 0.718
-0.962 -1.714 -1.282
-2.927 -2.563 1.329
0.169 -1.510 1.893
0.000 0.000 0.000
```

Calculated values
* total magnetic moment: 0.00 μB/f.u.
* ρ: 6.11 g/cm3
* SG: P4/mmm (123)
* energy: -6.492 eV/atom

# 23
The following is a GGA-PBE calculation of a relaxed structure of Zr2ScMo, from Alexandria.

Structure (POSCAR):
```
Zr2ScMo
1.0
-2.464 3.740 -1.456
-0.886 -1.563 -2.514
-4.991 -2.647 1.648
Zr Mo Sc
2 1 1
Cartesian
-2.873 0.630 -1.135
-0.027 -0.015 0.007
-2.893 -2.068 -0.416
-5.487 -1.122 -1.212
```

Calculated values
* total magnetic moment: 0.00 μB/f.u.
* ρ: 6.46 g/cm3
* SG: Pm (6)
* energy: -8.482 eV/atom

# 24
The following is a GGA-PBE calculation of a relaxed structure of ZrScMo2, from Alexandria.

Structure (POSCAR):
```
ZrScMo2
1.0
4.611 0.000 0.000
0.000 2.885 0.001
0.000 0.843 5.518
Mo Zr Sc
2 1 1
Cartesian
0.000 1.924 2.744
0.000 2.825 0.016
2.306 2.796 4.139
2.306 0.932 1.380
```

Calculated values
* total magnetic moment: 0.00 μB/f.u.
* ρ: 7.42 g/cm3
* SG: P2/m (10)
* energy: -8.981 eV/atom

# 25
The following is a GGA-PBE calculation of a relaxed structure of ZrScMo2, from Alexandria.

Structure (POSCAR):
```
ZrScMo2
1.0
5.544 0.007 0.000
-2.668 4.859 0.000
0.000 0.000 2.764
Mo Sc Zr
2 1 1
Cartesian
1.438 2.433 0.000
0.000 0.000 0.000
2.772 0.004 1.382
-1.334 2.430 1.382
```

Calculated values
* total magnetic moment: 0.00 μB/f.u.
* ρ: 7.31 g/cm3
* SG: Cmmm (65)
* energy: -8.863 eV/atom

# 26
The following is a GGA-PBE calculation of a relaxed structure of Zr2ScMo, from Alexandria.

Structure (POSCAR):
```
Zr2ScMo
1.0
0.000 3.451 3.451
3.451 0.000 3.451
3.451 3.451 0.000
Zr Sc Mo
2 1 1
Cartesian
5.176 5.176 5.176
1.725 1.725 1.725
0.000 0.000 0.000
3.451 3.451 3.451
```

Calculated values
* total magnetic moment: 0.00 μB/f.u.
* ρ: 6.53 g/cm3
* SG: Fm-3m (225)
* energy: -8.494 eV/atom

# 27
The following is a GGA-PBE calculation of a relaxed structure of ZrScMo2, from Alexandria.

Structure (POSCAR):
```
ZrScMo2
1.0
-2.154 -4.180 0.309
-4.229 -0.624 -1.983
-0.431 -2.717 -3.826
Mo Zr Sc
2 1 1
Cartesian
-5.110 -5.640 -4.125
-1.703 -1.880 -1.375
-3.406 -3.760 -2.750
0.000 0.000 0.000
```

Calculated values
* total magnetic moment: 0.00 μB/f.u.
* ρ: 7.36 g/cm3
* SG: Fm-3m (225)
* energy: -8.921 eV/atom

# 28
The following is a GGA-PBE calculation of a relaxed structure of ZrScMo, from Alexandria.

Structure (POSCAR):
```
ZrScMo
1.0
3.266 0.000 0.000
-1.633 2.829 0.000
0.000 0.000 6.807
Mo Zr Sc
1 1 1
Cartesian
0.000 0.000 6.759
0.000 1.886 4.801
1.633 0.943 2.054
```

Calculated values
* total magnetic moment: 0.00 μB/f.u.
* ρ: 6.13 g/cm3
* SG: P3m1 (156)
* energy: -8.322 eV/atom

# 29
The following is a GGA-PBE calculation of a relaxed structure of Zr2ScMo, from Alexandria.

Structure (POSCAR):
```
Zr2ScMo
1.0
-4.490 -0.330 3.548
0.979 -2.763 4.926
1.524 4.453 -3.272
Sc Mo Zr
1 1 2
Cartesian
0.374 0.072 2.945
-2.361 1.288 2.257
-3.395 -2.991 8.195
-1.871 -1.648 4.516
```

Calculated values
* total magnetic moment: 0.00 μB/f.u.
* ρ: 6.33 g/cm3
* SG: Immm (71)
* energy: -8.539 eV/atom

# 30
The following is a GGA-PBE calculation of a relaxed structure of ZrScMo2, from Alexandria.

Structure (POSCAR):
```
ZrScMo2
1.0
-2.261 -3.569 -8.429
0.843 -3.538 -8.699
-0.575 -5.936 -7.303
Mo Sc Zr
2 1 1
Cartesian
-0.514 -3.359 -6.292
-1.979 -12.947 -24.251
-1.014 -6.635 -12.428
-1.478 -9.666 -18.105
```

Calculated values
* total magnetic moment: 0.00 μB/f.u.
* ρ: 7.00 g/cm3
* SG: R3m (160)
* energy: -8.920 eV/atom